# 1
{"formula": "GaReP3", "functional": "PBE-GGA", "state": "relaxed", "space_group": "Pm-3m", "polymorph_energy_ev_per_atom": 0.000, "lattice": [[4.680, 0.000, 0.000], [0.000, 4.680, 0.000], [0.000, 0.000, 4.680]], "species": ["P", "P", "P", "Ga", "Re"], "frac_coords": [[0.000, 0.000, 0.500], [0.500, 0.000, 0.000], [0.000, 0.500, 0.000], [0.500, 0.500, 0.500], [0.000, 0.000, 0.000]]}

# 2
{"formula": "Ga2ReP", "functional": "PBE-GGA", "state": "relaxed", "space_group": "I-42d", "lattice": [[-3.771, -6.278, -0.728], [5.984, -3.274, -2.764], [1.781, -5.441, 0.502]], "species": ["Re", "Re", "Ga", "Ga", "Ga", "Ga", "P", "P"], "frac_coords": [[0.750, 0.250, 0.500], [0.000, 0.000, 0.000], [0.122, 0.625, 0.250], [0.875, 0.878, 0.750], [0.628, 0.125, 0.250], [0.375, 0.372, 0.750], [0.500, 0.500, 0.000], [0.250, 0.750, 0.500]]}

Per-record final energy, eV per atom: -5.78, -5.41